Density functional theory data (GGA-PBE) for a relaxed Er8Pt2Rh crystal.

**Formation energy from the elements**: -0.5914 eV/atom
**Uncorrected energy**: -5.676 eV per atom
**DOS(E_F)**: 1.00 states/eV per atom
**Magnetic moment**: 0.00 μB per formula unit

Geometry as CIF:
```
data_Er8Pt2Rh
_space_group_name_H-M_alt 'C 1 m 1'
_space_group_IT_number 8
_space_group_name_Hall 'C -2y'
_cell_length_a 8.350
_cell_length_b 12.571
_cell_length_c 5.862
_cell_angle_alpha 90.00
_cell_angle_beta 109.14
_cell_angle_gamma 90.00
loop_
_atom_site_label
_atom_site_fract_x
_atom_site_fract_y
_atom_site_fract_z
Er1 0.000 0.000 0.000
Er2 0.064 0.372 0.787
Er3 0.151 0.128 0.586
Er4 0.216 0.500 0.357
Er5 0.359 0.214 0.178
Pt1 0.356 0.311 0.679
Rh1 0.357 0.000 0.029
```